# 1
Material: Cr2CuTc
Method: DFT, GGA-PBE
State: relaxed

extended XYZ file:
```
4
Lattice="2.672 0.000 0.000 0.000 3.625 0.000 0.000 0.000 5.222" Properties=species:S:1:pos:R:3 pbc="T T T"
Cr 0.000 0.000 0.000
Cr 1.336 1.812 1.198
Cu 0.000 0.000 2.544
Tc 1.336 1.812 3.969
```

Computed properties:
- Size of the total moment: 0.000 μB per atom
- V: 12.65 Å³ per atom
- ρ: 8717 kg/m³
- Electronic total energy: -32.600 eV/cell


# 2
Material: VRhBr2
Method: DFT, GGA-PBE
State: relaxed

extended XYZ file:
```
8
Lattice="-2.343 2.343 7.724 2.343 -2.343 7.724 2.343 2.343 -7.724" Properties=species:S:1:pos:R:3 pbc="T T T"
V 0.000 0.000 0.000
V 0.000 2.343 3.862
Rh 2.343 0.000 3.862
Rh 0.000 0.000 7.724
Br 3.515 1.159 -1.931
Br 1.159 1.172 1.931
Br -1.172 1.184 5.793
Br 1.184 1.172 9.655
```

Computed properties:
- Size of the total moment: 0.499 μB per atom
- V: 21.20 Å³ per atom
- ρ: 6141 kg/m³
- ΔE_f (raw): 0.243 eV/atom
- Excess energy over the best structure of this formula in the dataset: 0 kJ/mol of formula units
- Electronic total energy: -37.684 eV/cell


# 3
Material: RePPb2
Method: DFT, GGA-PBE
State: relaxed

extended XYZ file:
```
4
Lattice="1.599 0.923 9.795 -1.599 0.923 9.795 0.000 -1.846 9.795" Properties=species:S:1:pos:R:3 pbc="T T T"
Re 0.000 0.000 0.000
P 0.000 0.000 14.693
Pb 0.000 0.000 7.515
Pb 0.000 0.000 21.871
```

Computed properties:
- Size of the total moment: 0.000 μB per atom
- V: 21.69 Å³ per atom
- ρ: 12088 kg/m³
- Electronic total energy: -21.286 eV/cell


# 4
Material: ThCuH6Ir
Method: DFT, GGA-PBE
State: relaxed

extended XYZ file:
```
9
Lattice="4.616 0.000 0.000 -2.308 3.998 0.000 0.000 0.000 4.339" Properties=species:S:1:pos:R:3 pbc="T T T"
Th 0.000 0.000 0.000
Cu 0.000 2.665 2.170
H 2.308 0.019 1.009
H 2.308 0.019 3.330
H 1.171 1.989 1.009
H 1.171 1.989 3.330
H 3.446 1.989 1.009
H 3.446 1.989 3.330
Ir 2.308 1.333 2.170
```

Computed properties:
- Size of the total moment: 0.000 μB per atom
- V: 8.90 Å³ per atom
- ρ: 10242 kg/m³
- Electronic total energy: -42.894 eV/cell